## LaMoP2O8 (GGA+U)

Data for crystalline LaMoP2O8 at its relaxed geometry.

a = 5.2065 Å, b = 5.2065 Å, c = 7.1205 Å
α = 90.00°, β = 90.00°, γ = 120.00°
Closest atoms and distances in Å follow each position.
Element x y z (fractional)
La 0.0000 0.0000 0.0000  6 O 2.59
Mo 0.0000 0.0000 0.5000  6 O 2.13
P 0.3333 0.6667 0.2235  4 O 1.53-1.55
P 0.6667 0.3333 0.7765  4 O 1.53-1.55
O 0.1705 0.3410 0.2923  1 P 1.55
O 0.1705 0.8295 0.2923  1 P 1.55
O 0.3333 0.6667 0.0081  1 P 1.53
O 0.3410 0.1705 0.7077  1 P 1.55
O 0.6590 0.8295 0.2923  1 P 1.55
O 0.6667 0.3333 0.9919  1 P 1.53
O 0.8295 0.1705 0.7077  1 P 1.55
O 0.8295 0.6590 0.7077  1 P 1.55

* volume: 13.9 Å³/atom
* raw total energy: -0.5669 Ry/atom
* space-group type: P-3m1, No. 164
* Fermi-level density of states: 0.00 states/eV per cell